Entry 1:
Density functional theory data (PBE) for Pm2In3Au4 after structural relaxation.

a b c (Å): 8.916 8.916 8.076
angles (deg): 90.00 90.00 139.42
Element x y z (fractional)
Pm1 0.104 0.896 0.907
Pm2 0.396 0.604 0.407
Pm3 0.604 0.396 0.593
Pm4 0.896 0.104 0.093
In1 0.000 0.000 0.500
In2 0.022 0.478 0.750
In3 0.478 0.022 0.250
In4 0.500 0.500 0.000
In5 0.522 0.978 0.750
In6 0.978 0.522 0.250
Au1 0.172 0.828 0.536
Au2 0.192 0.308 0.750
Au3 0.308 0.192 0.250
Au4 0.328 0.672 0.036
Au5 0.672 0.328 0.964
Au6 0.692 0.808 0.750
Au7 0.808 0.692 0.250
Au8 0.828 0.172 0.464

- energy relative to the lowest polymorph listed for this composition (eV/atom) = 0.059
- crystal system = orthorhombic


Entry 2:
Density functional theory data (PBE) for DyPaSn6 after structural relaxation.

a b c (Å): 4.666 4.666 9.383
angles (deg): 90.00 90.00 90.00
Element x y z (fractional)
Dy1 0.000 0.000 0.000
Pa1 0.000 0.000 0.500
Sn1 0.000 0.500 0.252
Sn2 0.000 0.500 0.748
Sn3 0.500 0.000 0.252
Sn4 0.500 0.000 0.748
Sn5 0.500 0.500 0.000
Sn6 0.500 0.500 0.500

- crystal system = tetragonal


Total moment, respectively: 0.000; 0.000 μB per atom.
DFT formation energy, respectively: -533; -348 meV per atom.
DFT total energy, respectively: -3.96; -5.11 eV/atom.